Below is a relaxed structure of TaV3Cl2O6, with properties calculated at the PBE+U level.

abc: 5.144 5.986 6.155
angles: 119.09 80.24 90.00
Site moments in Bohr magnetons follow the coordinates.
Element x y z (fractional)
O: 0.327 0.181 0.362  -0.02
O: 0.284 0.185 0.871  -0.02
Cl: 0.176 0.695 0.390  -0.02
O: 0.673 0.819 0.638  -0.02
Ta: 0.500 0.000 0.000  0.03
V: 0.000 0.500 0.000  1.97
V: 0.500 0.500 0.500  1.89
O: 0.716 0.815 0.129  -0.02
Cl: 0.824 0.305 0.610  -0.02
V: 0.500 0.000 0.500  1.89
O: 0.284 0.686 0.871  -0.02
O: 0.716 0.314 0.129  -0.02

Results
Total magnetic moment ... 6.0 Bohr magnetons per cell
Space-group type ... C2/m, No. 12
E_tot ... -7.563 eV/atom